Entry 1:
Computed, not measured: a geometry-optimized MnHgRh2 structure at the GGA-PBEsol level of DFT.

Values from the calculation:
* formation energy: 0.50 eV per formula unit

Cell: 2.8297 2.8297 25.8326 Å, 90.00 90.00 120.00°
Space group R-3m (No. 166, hexagonal axes)
Symmetry-distinct sites (fractional):
Mn1 0.0000 0.0000 0.0000 [3 per cell]
Hg1 0.0000 0.0000 0.5000 [3 per cell]
Rh1 0.0000 0.0000 0.2591 [6 per cell]

***

Entry 2:
Computed, not measured: a geometry-optimized MnHg2Ru structure at the GGA-PBEsol level of DFT.

Values from the calculation:
* formation energy: 1.51 eV per formula unit

Cell: 2.9167 2.9167 27.4967 Å, 90.00 90.00 120.00°
Space group R3m (No. 160, hexagonal axes)
Symmetry-distinct sites (fractional):
Mn1 0.0000 0.0000 0.0000 [3 per cell]
Hg1 0.0000 0.0000 0.2503 [3 per cell]
Hg2 0.0000 0.0000 0.4846 [3 per cell]
Ru1 0.0000 0.0000 0.7309 [3 per cell]

***

Entry 3:
Computed, not measured: a geometry-optimized MnHg2Ru structure at the GGA-PBEsol level of DFT.

Values from the calculation:
* formation energy: 1.51 eV per formula unit

Cell: 4.0583 4.0583 4.0151 Å, 90.00 90.00 90.00°
Space group P4/mmm (No. 123)
Symmetry-distinct sites (fractional):
Mn1 0.0000 0.0000 0.0000 [1 per cell]
Hg1 0.0000 0.5000 0.5000 [2 per cell]
Ru1 0.5000 0.5000 0.0000 [1 per cell]

***

Entry 4:
Computed, not measured: a geometry-optimized MnHg3Ru structure at the GGA-PBEsol level of DFT.

Values from the calculation:
* formation energy: 5.37 eV per formula unit

Cell: 5.0973 5.0973 5.0973 Å, 90.00 90.00 90.00°
Space group Pm-3m (No. 221)
Symmetry-distinct sites (fractional):
Mn1 0.0000 0.0000 0.0000 [1 per cell]
Hg1 0.0000 0.5000 0.5000 [3 per cell]
Ru1 0.5000 0.5000 0.5000 [1 per cell]

***

Entry 5:
Computed, not measured: a geometry-optimized MnHg2Ru structure at the GGA-PBEsol level of DFT.

Values from the calculation:
* formation energy: 2.14 eV per formula unit

Cell: 2.9451 2.9451 26.8250 Å, 90.00 90.00 120.00°
Space group R-3m (No. 166, hexagonal axes)
Symmetry-distinct sites (fractional):
Mn1 0.0000 0.0000 0.0000 [3 per cell]
Hg1 0.0000 0.0000 0.2505 [6 per cell]
Ru1 0.0000 0.0000 0.5000 [3 per cell]

***

Entry 6:
Computed, not measured: a geometry-optimized MnHg2Ru structure at the GGA-PBEsol level of DFT.

Values from the calculation:
* formation energy: 1.78 eV per formula unit

Cell: 5.7738 7.4343 3.0910 Å, 90.00 90.00 90.00°
Space group Cmmm (No. 65)
Symmetry-distinct sites (fractional):
Mn1 0.0000 0.0000 0.0000 [2 per cell]
Hg1 0.2500 0.2500 0.5000 [4 per cell]
Ru1 0.0000 0.5000 0.0000 [2 per cell]

***

Entry 7:
Computed, not measured: a geometry-optimized MnHg4S5 structure at the GGA-PBEsol level of DFT.

Values from the calculation:
* ΔE_f (raw): -0.205 eV/atom

Cell: 4.0989 4.0989 28.9950 Å, 90.00 90.00 90.00°
Space group I-4m2 (No. 119)
Symmetry-distinct sites (fractional):
Mn1 0.0000 0.0000 0.0000 [2 per cell]
Hg1 0.0000 0.0000 0.1983 [4 per cell]
Hg2 0.0000 0.0000 0.4053 [4 per cell]
S1 0.0000 0.5000 0.1464 [4 per cell]
S2 0.0000 0.5000 0.5421 [4 per cell]
S3 0.0000 0.5000 0.7500 [2 per cell]

***

Entry 8:
Computed, not measured: a geometry-optimized ScMnHgS2 structure at the GGA-PBEsol level of DFT.

Values from the calculation:
* ΔE_f (raw): 0.110 eV/atom

Cell: 4.7684 4.7684 5.6376 Å, 90.00 90.00 90.00°
Space group P4/mmm (No. 123)
Symmetry-distinct sites (fractional):
Sc1 0.0000 0.0000 0.0000 [1 per cell]
Mn1 0.0000 0.0000 0.5000 [1 per cell]
Hg1 0.5000 0.5000 0.5000 [1 per cell]
S1 0.0000 0.5000 0.0000 [2 per cell]

***

Entry 9:
Computed, not measured: a geometry-optimized Mn2HgSb2 structure at the GGA-PBEsol level of DFT.

Values from the calculation:
* ΔE_f (raw): 0.503 eV/atom

Cell: 5.0554 5.0554 7.6157 Å, 90.00 90.00 90.00°
Space group I4/mmm (No. 139)
Symmetry-distinct sites (fractional):
Mn1 0.0000 0.0000 0.1286 [4 per cell]
Hg1 0.0000 0.0000 0.5000 [2 per cell]
Sb1 0.0000 0.5000 0.2500 [4 per cell]

***

Entry 10:
Computed, not measured: a geometry-optimized MnHgSb structure at the GGA-PBEsol level of DFT.

Values from the calculation:
* ΔE_f (raw): 0.217 eV/atom

Cell: 6.4159 6.4159 6.4159 Å, 90.00 90.00 90.00°
Space group F-43m (No. 216)
Symmetry-distinct sites (fractional):
Mn1 0.0000 0.0000 0.0000 [4 per cell]
Hg1 0.2500 0.2500 0.2500 [4 per cell]
Sb1 0.2500 0.2500 0.7500 [4 per cell]

***

Entry 11:
Computed, not measured: a geometry-optimized TaMn2HgSb structure at the GGA-PBEsol level of DFT.

Values from the calculation:
* ΔE_f (raw): 1.202 eV/atom

Cell: 4.8091 4.8091 5.2213 Å, 90.00 90.00 90.00°
Space group P4/mmm (No. 123)
Symmetry-distinct sites (fractional):
Ta1 0.0000 0.0000 0.0000 [1 per cell]
Mn1 0.0000 0.5000 0.0000 [2 per cell]
Hg1 0.5000 0.5000 0.5000 [1 per cell]
Sb1 0.0000 0.0000 0.5000 [1 per cell]

***

Entry 12:
Computed, not measured: a geometry-optimized MnHgSbTe2 structure at the GGA-PBEsol level of DFT.

Values from the calculation:
* ΔE_f (raw): 1.058 eV/atom

Cell: 5.5319 5.5319 5.3912 Å, 90.00 90.00 90.00°
Space group P4/mmm (No. 123)
Symmetry-distinct sites (fractional):
Mn1 0.0000 0.0000 0.0000 [1 per cell]
Hg1 0.5000 0.5000 0.5000 [1 per cell]
Sb1 0.5000 0.5000 0.0000 [1 per cell]
Te1 0.0000 0.5000 0.5000 [2 per cell]

***

Entry 13:
Computed, not measured: a geometry-optimized ScMnHg structure at the GGA-PBEsol level of DFT.

Values from the calculation:
* formation energy: 0.46 eV per formula unit

Cell: 3.1040 3.1040 6.7146 Å, 90.00 90.00 120.00°
Space group P3m1 (No. 156)
Symmetry-distinct sites (fractional):
Sc1 0.0000 0.0000 0.0000 [1 per cell]
Mn1 0.3333 0.6667 0.3081 [1 per cell]
Hg1 0.6667 0.3333 0.6336 [1 per cell]

***

Entry 14:
Computed, not measured: a geometry-optimized ScMnHg structure at the GGA-PBEsol level of DFT.

Values from the calculation:
* formation energy: 0.92 eV per formula unit

Cell: 6.4271 6.4271 6.4271 Å, 90.00 90.00 90.00°
Space group F-43m (No. 216)
Symmetry-distinct sites (fractional):
Sc1 0.0000 0.0000 0.0000 [4 per cell]
Mn1 0.0000 0.0000 0.5000 [4 per cell]
Hg1 0.2500 0.2500 0.7500 [4 per cell]

***

Entry 15:
Computed, not measured: a geometry-optimized MnHgSe2 structure at the GGA-PBEsol level of DFT.

Values from the calculation:
* ΔE_f (raw): 0.245 eV/atom

Cell: 5.7273 7.4599 3.7431 Å, 90.00 90.00 90.00°
Space group Cmmm (No. 65)
Symmetry-distinct sites (fractional):
Mn1 0.0000 0.0000 0.0000 [2 per cell]
Hg1 0.0000 0.5000 0.0000 [2 per cell]
Se1 0.2500 0.2500 0.5000 [4 per cell]

***

Entry 16:
Computed, not measured: a geometry-optimized MnHgSe2 structure at the GGA-PBEsol level of DFT.

Values from the calculation:
* ΔE_f (raw): 0.402 eV/atom

Cell: 6.7870 6.7870 6.7870 Å, 90.00 90.00 90.00°
Space group F-43m (No. 216)
Symmetry-distinct sites (fractional):
Mn1 0.0000 0.0000 0.0000 [4 per cell]
Hg1 0.2500 0.2500 0.7500 [4 per cell]
Se1 0.0000 0.0000 0.5000 [4 per cell]
Se2 0.2500 0.2500 0.2500 [4 per cell]

***

Entry 17:
Computed, not measured: a geometry-optimized Mn2HgSe structure at the GGA-PBEsol level of DFT.

Values from the calculation:
* ΔE_f (raw): 0.201 eV/atom

Cell: 3.4233 3.4233 21.2828 Å, 90.00 90.00 120.00°
Space group R-3m (No. 166, hexagonal axes)
Symmetry-distinct sites (fractional):
Mn1 0.0000 0.0000 0.2416 [6 per cell]
Hg1 0.0000 0.0000 0.0000 [3 per cell]
Se1 0.0000 0.0000 0.5000 [3 per cell]

***

Entry 18:
Computed, not measured: a geometry-optimized MnHgSe2 structure at the GGA-PBEsol level of DFT.

Values from the calculation:
* ΔE_f (raw): -0.070 eV/atom

Cell: 2.9332 2.9332 8.9425 Å, 90.00 90.00 90.00°
Space group P4/mmm (No. 123)
Symmetry-distinct sites (fractional):
Mn1 0.0000 0.0000 0.0000 [1 per cell]
Hg1 0.0000 0.0000 0.5000 [1 per cell]
Se1 0.5000 0.5000 0.1627 [2 per cell]

***

Entry 19:
Computed, not measured: a geometry-optimized MnHgSe2 structure at the GGA-PBEsol level of DFT.

Values from the calculation:
* ΔE_f (raw): -0.283 eV/atom

Cell: 3.3359 3.3359 28.0606 Å, 90.00 90.00 120.00°
Space group R-3m (No. 166, hexagonal axes)
Symmetry-distinct sites (fractional):
Mn1 0.0000 0.0000 0.0000 [3 per cell]
Hg1 0.0000 0.0000 0.5000 [3 per cell]
Se1 0.0000 0.0000 0.3856 [6 per cell]

***

Entry 20:
Computed, not measured: a geometry-optimized Mn2HgSe structure at the GGA-PBEsol level of DFT.

Values from the calculation:
* ΔE_f (raw): 0.331 eV/atom

Cell: 3.8168 3.8168 9.4023 Å, 90.00 90.00 90.00°
Space group I-4m2 (No. 119)
Symmetry-distinct sites (fractional):
Mn1 0.0000 0.0000 0.0000 [2 per cell]
Mn2 0.0000 0.5000 0.2500 [2 per cell]
Hg1 0.0000 0.5000 0.7500 [2 per cell]
Se1 0.0000 0.0000 0.5000 [2 per cell]

***

Entry 21:
Computed, not measured: a geometry-optimized Mn2HgSe structure at the GGA-PBEsol level of DFT.

Values from the calculation:
* ΔE_f (raw): 0.332 eV/atom

Cell: 3.4497 4.3367 4.4861 Å, 90.00 90.00 90.00°
Space group Pmmm (No. 47)
Symmetry-distinct sites (fractional):
Mn1 0.0000 0.0000 0.0000 [1 per cell]
Mn2 0.0000 0.5000 0.5000 [1 per cell]
Hg1 0.5000 0.0000 0.5000 [1 per cell]
Se1 0.5000 0.5000 0.0000 [1 per cell]

***

Entry 22:
Computed, not measured: a geometry-optimized Mn2HgTeSe structure at the GGA-PBEsol level of DFT.

Values from the calculation:
* ΔE_f (raw): 1.151 eV/atom

Cell: 5.0459 5.0459 5.4142 Å, 90.00 90.00 90.00°
Space group P4/mmm (No. 123)
Symmetry-distinct sites (fractional):
Mn1 0.0000 0.5000 0.0000 [2 per cell]
Hg1 0.0000 0.0000 0.0000 [1 per cell]
Te1 0.0000 0.0000 0.5000 [1 per cell]
Se1 0.5000 0.5000 0.5000 [1 per cell]

***

Entry 23:
Computed, not measured: a geometry-optimized MnSi2Hg structure at the GGA-PBEsol level of DFT.

Values from the calculation:
* ΔE_f (raw): 0.066 eV/atom

Cell: 7.6359 3.0866 5.9432 Å, 90.00 120.62 90.00°
Space group Cm (No. 8)
Symmetry-distinct sites (fractional):
Mn1 0.0000 0.0000 0.0000 [2 per cell]
Si1 0.1498 0.5000 0.8468 [2 per cell]
Si2 0.3798 0.0000 0.1862 [2 per cell]
Hg1 0.2558 0.0000 0.5244 [2 per cell]

***

Entry 24:
Computed, not measured: a geometry-optimized Mn2SiHg structure at the GGA-PBEsol level of DFT.

Values from the calculation:
* ΔE_f (raw): 0.518 eV/atom

Cell: 6.0693 6.0693 6.0693 Å, 90.00 90.00 90.00°
Space group F-43m (No. 216)
Symmetry-distinct sites (fractional):
Mn1 0.0000 0.0000 0.0000 [4 per cell]
Mn2 0.2500 0.2500 0.2500 [4 per cell]
Si1 0.0000 0.0000 0.5000 [4 per cell]
Hg1 0.2500 0.2500 0.7500 [4 per cell]

***

Entry 25:
Computed, not measured: a geometry-optimized MnSiHg2 structure at the GGA-PBEsol level of DFT.

Values from the calculation:
* ΔE_f (raw): 0.425 eV/atom

Cell: 9.7381 3.1756 4.7561 Å, 90.00 99.34 90.00°
Space group C2/m (No. 12)
Symmetry-distinct sites (fractional):
Mn1 0.0000 0.0000 0.0000 [2 per cell]
Si1 0.0000 0.5000 0.5000 [2 per cell]
Hg1 0.2428 0.5000 0.2453 [4 per cell]

***

Entry 26:
Computed, not measured: a geometry-optimized Mn2SiHg structure at the GGA-PBEsol level of DFT.

Values from the calculation:
* ΔE_f (raw): 0.045 eV/atom

Cell: 3.9004 3.9106 7.1007 Å, 90.00 90.00 90.00°
Space group Cmmm (No. 65)
Symmetry-distinct sites (fractional):
Mn1 0.0000 0.0000 0.2065 [4 per cell]
Si1 0.0000 0.5000 0.0000 [2 per cell]
Hg1 0.0000 0.5000 0.5000 [2 per cell]

***

Entry 27:
Computed, not measured: a geometry-optimized Mn2SiHg structure at the GGA-PBEsol level of DFT.

Values from the calculation:
* ΔE_f (raw): 0.235 eV/atom

Cell: 3.5530 4.2965 7.4094 Å, 90.00 90.00 90.00°
Space group Immm (No. 71)
Symmetry-distinct sites (fractional):
Mn1 0.0000 0.0000 0.2237 [4 per cell]
Si1 0.0000 0.5000 0.5000 [2 per cell]
Hg1 0.0000 0.5000 0.0000 [2 per cell]

***

Entry 28:
Computed, not measured: a geometry-optimized MnSi2Hg structure at the GGA-PBEsol level of DFT.

Values from the calculation:
* ΔE_f (raw): 0.412 eV/atom

Cell: 5.4550 5.4651 8.9305 Å, 90.00 90.00 90.00°
Space group Fmmm (No. 69)
Symmetry-distinct sites (fractional):
Mn1 0.0000 0.0000 0.0000 [4 per cell]
Si1 0.2500 0.0000 0.2500 [8 per cell]
Hg1 0.0000 0.0000 0.5000 [4 per cell]

***

Entry 29:
Computed, not measured: a geometry-optimized MnSiHg2 structure at the GGA-PBEsol level of DFT.

Values from the calculation:
* ΔE_f (raw): 0.502 eV/atom

Cell: 3.1739 5.0303 9.3006 Å, 90.00 90.00 90.00°
Space group Cmmm (No. 65)
Symmetry-distinct sites (fractional):
Mn1 0.0000 0.0000 0.0000 [2 per cell]
Si1 0.0000 0.0000 0.5000 [2 per cell]
Hg1 0.0000 0.5000 0.2411 [4 per cell]

***

Entry 30:
Computed, not measured: a geometry-optimized MnSi2Hg structure at the GGA-PBEsol level of DFT.

Values from the calculation:
* ΔE_f (raw): 0.423 eV/atom

Cell: 4.0846 4.0846 3.8082 Å, 90.00 90.00 90.00°
Space group P4/mmm (No. 123)
Symmetry-distinct sites (fractional):
Mn1 0.0000 0.0000 0.0000 [1 per cell]
Si1 0.0000 0.5000 0.5000 [2 per cell]
Hg1 0.5000 0.5000 0.0000 [1 per cell]